# Li2MnPd4Au

Crystalline Li2MnPd4Au at its relaxed geometry (GGA-PBE, Alexandria via LeMat-Bulk).

DFT total energy = -76.61 eV per cell
formation energy from the elements = -157.2 meV per atom
symmetry = No. 63
density of states at the Fermi level = 0.377 states/eV per atom
magnetic moment = 0.5575 μB/atom

The structure in POSCAR format:
```
Li2MnPd4Au
1.0
-1.861 1.884 -1.087
-4.064 -5.021 2.021
-1.151 5.703 11.853
Pd Li Au Mn
8 4 2 2
direct
0.327 0.654 0.084
0.673 0.346 0.916
0.498 0.995 0.250
0.000 0.000 0.000
0.327 0.654 0.416
0.000 0.000 0.500
0.673 0.346 0.584
0.502 0.005 0.750
0.365 0.730 0.905
0.635 0.270 0.405
0.635 0.270 0.095
0.365 0.730 0.595
0.825 0.650 0.750
0.175 0.350 0.250
0.843 0.685 0.250
0.157 0.315 0.750
```